Entry from Alexandria via LeMat-Bulk: a geometry-optimized YSe2Cl structure (PBE).

The structure in CIF format:
```
data_YSe2Cl
_chemical_formula_sum 'Y3 Se6 Cl3'
_cell_length_a 4.3194
_cell_length_b 4.3194
_cell_length_c 23.5560
_cell_angle_alpha 90.00
_cell_angle_beta 90.00
_cell_angle_gamma 120.00
_space_group_name_H-M_alt 'R -3 m'
_space_group_IT_number 166
_space_group_name_Hall '-R 3 2"'
loop_
_atom_site_label
_atom_site_type_symbol
_atom_site_fract_x
_atom_site_fract_y
_atom_site_fract_z
_atom_site_occupancy
Y1 Y 0.0000 0.0000 0.0000 1
Se1 Se 0.0000 0.0000 0.3948 1
Cl1 Cl 0.0000 0.0000 0.5000 1
```

Properties
Relative energy among the computed polymorphs (meV/atom): 283


Entry from Alexandria via LeMat-Bulk: a geometry-optimized Sm2SF3 structure (PBE).

The structure in CIF format:
```
data_Sm2SF3
_chemical_formula_sum 'Sm8 S4 F12'
_cell_length_a 15.050
_cell_length_b 4.107
_cell_length_c 8.076
_cell_angle_alpha 90.00
_cell_angle_beta 122.38
_cell_angle_gamma 90.00
_space_group_name_H-M_alt 'C 1 2/m 1'
_space_group_IT_number 12
loop_
_space_group_symop_operation_xyz
'x,y,z'
'-x,-y,-z'
'-x,y,-z'
'x,-y,z'
'x+1/2,y+1/2,z'
'-x+1/2,-y+1/2,-z'
'-x+1/2,y+1/2,-z'
'x+1/2,-y+1/2,z'
loop_
_atom_site_label
_atom_site_type_symbol
_atom_site_fract_x
_atom_site_fract_y
_atom_site_fract_z
_atom_site_occupancy
Sm1 Sm 0.009 0.000 0.276 1
Sm2 Sm 0.221 0.500 0.191 1
S1 S 0.140 0.500 0.773 1
F1 F 0.069 0.500 0.222 1
F2 F 0.114 0.000 0.070 1
F3 F 0.185 0.000 0.477 1
```


Entry from Alexandria via LeMat-Bulk: a geometry-optimized Sc3SiPt structure (PBE).

The structure in CIF format:
```
data_Sc3SiPt
_chemical_formula_sum 'Sc3 Si1 Pt1'
_cell_length_a 5.007
_cell_length_b 5.007
_cell_length_c 5.007
_cell_angle_alpha 90.00
_cell_angle_beta 90.00
_cell_angle_gamma 90.00
_space_group_name_H-M_alt 'P m -3 m'
_space_group_IT_number 221
_space_group_name_Hall '-P 4 2 3'
loop_
_atom_site_label
_atom_site_type_symbol
_atom_site_fract_x
_atom_site_fract_y
_atom_site_fract_z
_atom_site_occupancy
Sc1 Sc 0.000 0.000 0.500 1
Si1 Si 0.500 0.500 0.500 1
Pt1 Pt 0.000 0.000 0.000 1
```

Properties
Relative energy among the computed polymorphs (meV/atom): 0


Entry from Alexandria via LeMat-Bulk: a geometry-optimized BaTaPt2O8 structure (PBE).

The structure in CIF format:
```
data_BaTaPt2O8
_chemical_formula_sum 'Ba1 Ta1 Pt2 O8'
_cell_length_a 5.3825
_cell_length_b 5.3825
_cell_length_c 7.7605
_cell_angle_alpha 90.00
_cell_angle_beta 90.00
_cell_angle_gamma 120.00
_space_group_name_H-M_alt 'P -3'
_space_group_IT_number 147
loop_
_space_group_symop_operation_xyz
'x,y,z'
'-x,-y,-z'
'-y,x-y,z'
'y,-x+y,-z'
'-x+y,-x,z'
'x-y,x,-z'
loop_
_atom_site_label
_atom_site_type_symbol
_atom_site_fract_x
_atom_site_fract_y
_atom_site_fract_z
_atom_site_occupancy
Ba1 Ba 0.0000 0.0000 0.0000 1
Ta1 Ta 0.0000 0.0000 0.5000 1
Pt1 Pt 0.3333 0.6667 0.7785 1
O1 O 0.0580 0.3206 0.6522 1
O2 O 0.3333 0.6667 0.0172 1
```


no.,uncorrected energy (eV/atom),formation energy (no corrections) (eV/atom)
1,-4.940,-1.120
2,-6.410,-3.214
3,-6.270,-0.178
4,-6.499,-1.038